VASP calculation (PBE) on an optimized crystal structure of Pa2ZnSi3Rh4.

## Properties
The calculation puts the formation energy (no corrections) at -0.875 eV/atom. The calculation puts the magnetic moment at 0.00 μB/f.u. The calculated volume comes out at 16.82 A^3/atom. The density of states at the Fermi level is 8.41 states/eV/f.u.

Cell and atoms, written as POSCAR:
```
Pa2ZnSi3Rh4
1.0
-2.945 2.035 -1.896
-1.785 -3.501 -0.983
-5.394 0.305 8.709
Si Rh Pa Zn
3 4 2 1
direct
0.000 0.000 0.500
0.500 0.000 0.871
0.000 0.500 0.129
0.000 0.500 0.357
0.500 0.500 0.000
0.000 0.000 0.000
0.500 0.000 0.643
0.500 0.000 0.251
0.000 0.500 0.749
0.500 0.500 0.500
```

VASP calculation (PBE) on an optimized crystal structure of SmPaRh2.

## Properties
The calculation puts the total energy at -7.9544 eV/atom. The calculation puts the magnetic moment at 0.00 μB/f.u. The calculated volume comes out at 21.46 A^3/atom. The density of states at the Fermi level is 3.40 states/eV/f.u.

Cell and atoms, written as POSCAR:
```
SmPaRh2
1.0
-2.857 1.986 -0.010
-0.203 -0.310 -3.460
-4.024 -5.787 0.755
Pa Rh Sm
1 2 1
direct
0.500 0.500 0.500
0.000 0.000 0.290
0.000 0.000 0.710
0.500 0.500 0.000
```

VASP calculation (PBE) on an optimized crystal structure of Sm3Pa4Rh8.

## Properties
The calculation puts the total energy at -7.9527 eV/atom. The calculation puts the magnetic moment at 1.44 μB/f.u. The calculated volume comes out at 20.55 A^3/atom. The density of states at the Fermi level is 14.12 states/eV/f.u.

Cell and atoms, written as POSCAR:
```
Sm3Pa4Rh8
1.0
-2.801 -7.966 4.467
-2.070 -7.836 -5.057
5.807 -7.578 0.342
Pa Rh Sm
8 16 6
direct
0.500 0.000 0.000
0.000 0.500 0.500
0.500 0.500 0.000
0.500 0.000 0.500
0.000 0.000 0.000
0.000 0.500 0.000
0.500 0.500 0.500
0.000 0.000 0.500
0.344 0.968 0.344
0.877 0.877 0.877
0.877 0.369 0.877
0.656 0.656 0.656
0.123 0.123 0.123
0.032 0.656 0.656
0.631 0.123 0.123
0.123 0.631 0.123
0.656 0.656 0.032
0.968 0.344 0.344
0.344 0.344 0.344
0.123 0.123 0.631
0.369 0.877 0.877
0.344 0.344 0.968
0.877 0.877 0.369
0.656 0.032 0.656
0.728 0.272 0.728
0.272 0.272 0.728
0.272 0.728 0.728
0.272 0.728 0.272
0.728 0.728 0.272
0.728 0.272 0.272
```

VASP calculation (PBE) on an optimized crystal structure of SmPaRh3.

## Properties
The calculation puts the total energy at -7.8372 eV/atom. The calculation puts the magnetic moment at 0.00 μB/f.u. The calculated volume comes out at 23.18 A^3/atom. The density of states at the Fermi level is 2.55 states/eV/f.u.

Cell and atoms, written as POSCAR:
```
SmPaRh3
1.0
5.846 0.000 0.005
2.923 5.062 0.003
2.927 1.686 7.838
Rh Sm Pa
6 2 2
direct
0.151 0.742 0.873
0.966 0.600 0.387
0.966 0.092 0.387
0.151 0.278 0.873
0.615 0.278 0.874
0.474 0.092 0.387
0.439 0.565 0.475
0.680 0.808 0.748
0.052 0.179 0.634
0.889 0.016 0.124
```

VASP calculation (PBE) on an optimized crystal structure of SmPaRh2.

## Properties
The calculation puts the total energy at -7.8316 eV/atom. The calculation puts the magnetic moment at 0.23 μB/f.u. The calculated volume comes out at 20.88 A^3/atom. The density of states at the Fermi level is 6.39 states/eV/f.u.

Cell and atoms, written as POSCAR:
```
SmPaRh2
1.0
-1.539 4.570 -0.906
-2.619 2.420 3.370
1.995 3.783 2.406
Rh Sm Pa
2 1 1
direct
0.250 0.250 0.250
0.750 0.750 0.750
0.500 0.500 0.500
0.000 0.000 0.000
```

VASP calculation (PBE) on an optimized crystal structure of Sm2PaRh.

## Properties
The calculation puts the total energy at -6.4673 eV/atom. The calculation puts the magnetic moment at 0.00 μB/f.u. The calculated volume comes out at 25.97 A^3/atom. The density of states at the Fermi level is 4.77 states/eV/f.u.

Cell and atoms, written as POSCAR:
```
Sm2PaRh
1.0
3.349 0.000 0.000
1.674 2.900 0.000
1.674 0.967 10.698
Sm Rh Pa
2 1 1
direct
0.898 0.898 0.305
0.102 0.102 0.695
0.500 0.500 0.500
0.000 0.000 0.000
```

VASP calculation (PBE) on an optimized crystal structure of Sm2Pa2Rh5.

## Properties
The calculation puts the total energy at -7.9239 eV/atom. The calculation puts the magnetic moment at 0.00 μB/f.u. The calculated volume comes out at 22.25 A^3/atom. The density of states at the Fermi level is 5.13 states/eV/f.u.

Cell and atoms, written as POSCAR:
```
Sm2Pa2Rh5
1.0
7.580 0.000 0.000
0.000 6.941 -3.988
0.000 -0.637 7.980
Rh Pa Sm
10 4 4
direct
0.000 0.000 0.000
0.362 0.975 0.741
0.500 0.500 0.500
0.862 0.525 0.759
0.362 0.741 0.975
0.862 0.759 0.525
0.138 0.241 0.475
0.138 0.475 0.241
0.638 0.259 0.025
0.638 0.025 0.259
0.164 0.663 0.663
0.664 0.837 0.837
0.836 0.337 0.337
0.336 0.163 0.163
0.500 0.298 0.702
0.000 0.798 0.202
0.000 0.202 0.798
0.500 0.702 0.298
```

VASP calculation (PBE) on an optimized crystal structure of SmPa2Rh3.

## Properties
The calculation puts the total energy at -8.2255 eV/atom. The calculation puts the magnetic moment at 0.00 μB/f.u. The calculated volume comes out at 21.82 A^3/atom. The density of states at the Fermi level is 6.03 states/eV/f.u.

Cell and atoms, written as POSCAR:
```
SmPa2Rh3
1.0
-3.294 -3.425 1.660
4.252 -1.915 -3.146
5.699 -1.349 8.524
Sm Pa Rh
2 4 6
direct
0.724 0.449 0.750
0.276 0.551 0.250
0.407 0.813 0.750
0.000 0.000 0.000
0.000 0.000 0.500
0.593 0.187 0.250
0.949 0.897 0.250
0.306 0.612 0.962
0.694 0.388 0.462
0.306 0.612 0.538
0.694 0.388 0.038
0.051 0.103 0.750
```

VASP calculation (PBE) on an optimized crystal structure of Sm3PaRh4.

## Properties
The calculation puts the total energy at -7.3525 eV/atom. The calculation puts the magnetic moment at 0.00 μB/f.u. The calculated volume comes out at 21.58 A^3/atom. The density of states at the Fermi level is 6.68 states/eV/f.u.

Cell and atoms, written as POSCAR:
```
Sm3PaRh4
1.0
-3.410 0.616 -0.309
-0.675 -3.301 0.866
-0.574 3.728 13.757
Sm Rh Pa
3 4 1
direct
0.500 0.500 0.747
0.500 0.500 0.253
0.500 0.500 0.500
0.000 0.000 0.895
0.000 0.000 0.105
0.000 0.000 0.375
0.000 0.000 0.625
0.500 0.500 0.000
```

VASP calculation (PBE) on an optimized crystal structure of SmPaRh2.

## Properties
The calculation puts the total energy at -7.9310 eV/atom. The calculation puts the magnetic moment at 0.00 μB/f.u. The calculated volume comes out at 23.11 A^3/atom. The density of states at the Fermi level is 1.96 states/eV/f.u.

Cell and atoms, written as POSCAR:
```
SmPaRh2
1.0
-0.268 1.788 -3.404
0.745 -1.928 -3.253
-6.755 -1.951 -2.675
Rh Sm Pa
2 1 1
direct
0.075 0.075 0.775
0.259 0.259 0.222
0.497 0.497 0.508
0.668 0.668 0.995
```

VASP calculation (PBE) on an optimized crystal structure of Sm4PaRh5.

## Properties
The calculation puts the total energy at -7.1222 eV/atom. The calculation puts the magnetic moment at 0.00 μB/f.u. The calculated volume comes out at 23.40 A^3/atom. The density of states at the Fermi level is 7.54 states/eV/f.u.

Cell and atoms, written as POSCAR:
```
Sm4PaRh5
1.0
-0.492 2.247 4.589
-6.887 -0.087 2.176
0.784 -4.825 5.318
Rh Sm Pa
5 4 1
direct
0.578 0.000 0.000
0.781 0.376 0.000
0.157 0.000 0.624
0.157 0.624 0.000
0.781 0.000 0.376
0.491 0.288 0.712
0.202 0.288 0.288
0.491 0.712 0.288
0.779 0.712 0.712
0.072 0.000 0.000
```

VASP calculation (PBE) on an optimized crystal structure of SmPa2Rh4.

## Properties
The calculation puts the total energy at -8.3698 eV/atom. The calculation puts the magnetic moment at 0.00 μB/f.u. The calculated volume comes out at 20.36 A^3/atom. The density of states at the Fermi level is 5.23 states/eV/f.u.

Cell and atoms, written as POSCAR:
```
SmPa2Rh4
1.0
-3.367 3.328 -0.798
-1.687 -4.075 -9.882
-7.634 -6.745 4.085
Pa Rh Sm
8 16 4
direct
0.250 0.929 0.349
0.750 0.147 0.146
0.750 0.571 0.849
0.250 0.853 0.854
0.750 0.071 0.651
0.750 0.647 0.354
0.250 0.353 0.646
0.250 0.429 0.151
0.750 0.071 0.377
0.250 0.993 0.106
0.750 0.507 0.606
0.750 0.333 0.014
0.750 0.833 0.486
0.250 0.429 0.877
0.750 0.571 0.123
0.250 0.167 0.514
0.250 0.715 0.230
0.250 0.929 0.623
0.250 0.667 0.986
0.750 0.785 0.730
0.250 0.493 0.394
0.750 0.285 0.770
0.750 0.007 0.894
0.250 0.215 0.270
0.750 0.333 0.406
0.750 0.833 0.094
0.250 0.167 0.906
0.250 0.667 0.594
```

VASP calculation (PBE) on an optimized crystal structure of SmPaRh3.

## Properties
The calculation puts the total energy at -7.9941 eV/atom. The calculation puts the magnetic moment at 0.00 μB/f.u. The calculated volume comes out at 20.63 A^3/atom. The density of states at the Fermi level is 3.70 states/eV/f.u.

Cell and atoms, written as POSCAR:
```
SmPaRh3
1.0
4.054 0.000 0.675
0.000 5.735 0.000
0.595 0.000 8.973
Pa Rh Sm
2 6 2
direct
0.083 0.750 0.834
0.917 0.250 0.166
0.930 0.750 0.140
0.500 0.000 0.000
0.500 0.500 0.000
0.685 0.750 0.627
0.315 0.250 0.373
0.070 0.250 0.860
0.690 0.250 0.622
0.310 0.750 0.378
```

VASP calculation (PBE) on an optimized crystal structure of SmPaRh2.

## Properties
The calculation puts the total energy at -7.9765 eV/atom. The calculation puts the magnetic moment at 0.00 μB/f.u. The calculated volume comes out at 23.00 A^3/atom. The density of states at the Fermi level is 2.68 states/eV/f.u.

Cell and atoms, written as POSCAR:
```
SmPaRh2
1.0
-3.205 -1.655 -1.554
-0.339 -3.912 -0.098
-4.232 -1.746 5.622
Rh Pa Sm
2 1 1
direct
0.742 0.742 0.775
0.258 0.258 0.225
0.000 0.000 0.000
0.500 0.500 0.500
```

VASP calculation (PBE) on an optimized crystal structure of SmPaRh.

## Properties
The calculation puts the total energy at -7.3515 eV/atom. The calculation puts the magnetic moment at 0.00 μB/f.u. The calculated volume comes out at 26.21 A^3/atom. The density of states at the Fermi level is 4.37 states/eV/f.u.

Cell and atoms, written as POSCAR:
```
SmPaRh
1.0
4.474 0.000 0.000
0.000 4.505 0.000
0.000 -2.253 3.902
Sm Pa Rh
1 1 1
direct
0.667 0.667 0.333
0.167 0.333 0.667
0.167 0.000 0.000
```

VASP calculation (PBE) on an optimized crystal structure of SmPaRh.

## Properties
The calculation puts the total energy at -7.6312 eV/atom. The calculation puts the magnetic moment at 0.00 μB/f.u. The calculated volume comes out at 23.96 A^3/atom. The density of states at the Fermi level is 4.15 states/eV/f.u.

Cell and atoms, written as POSCAR:
```
SmPaRh
1.0
-3.183 -0.371 1.612
-0.247 -3.350 -1.259
4.262 -0.052 4.412
Sm Rh Pa
1 1 1
direct
0.999 0.999 0.997
0.302 0.302 0.604
0.699 0.699 0.399
```

VASP calculation (PBE) on an optimized crystal structure of SmPa2Rh5.

## Properties
The calculation puts the total energy at -8.3179 eV/atom. The calculation puts the magnetic moment at 0.00 μB/f.u. The calculated volume comes out at 19.49 A^3/atom. The density of states at the Fermi level is 5.14 states/eV/f.u.

Cell and atoms, written as POSCAR:
```
SmPa2Rh5
1.0
-0.324 -4.068 -1.372
0.041 -1.846 5.464
-12.522 0.867 0.387
Rh Sm Pa
10 2 4
direct
0.000 0.155 0.231
0.500 0.078 0.647
0.000 0.845 0.769
0.000 0.000 0.000
0.000 0.500 0.500
0.500 0.578 0.853
0.000 0.345 0.731
0.500 0.422 0.147
0.500 0.922 0.353
0.000 0.655 0.269
0.000 0.500 0.000
0.000 0.000 0.500
0.500 0.090 0.855
0.500 0.410 0.355
0.500 0.910 0.145
0.500 0.590 0.645
```

VASP calculation (PBE) on an optimized crystal structure of SmPaRh2.

## Properties
The calculation puts the total energy at -8.0680 eV/atom. The calculation puts the magnetic moment at 0.00 μB/f.u. The calculated volume comes out at 22.10 A^3/atom. The density of states at the Fermi level is 3.04 states/eV/f.u.

Cell and atoms, written as POSCAR:
```
SmPaRh2
1.0
4.068 0.000 0.000
0.000 5.679 -1.834
0.000 -0.201 7.718
Sm Rh Pa
2 4 2
direct
0.250 0.274 0.064
0.750 0.726 0.936
0.750 0.209 0.324
0.250 0.791 0.676
0.750 0.178 0.761
0.250 0.822 0.239
0.750 0.720 0.431
0.250 0.280 0.569
```

VASP calculation (PBE) on an optimized crystal structure of SmPaRh.

## Properties
The calculation puts the total energy at -7.6515 eV/atom. The calculation puts the magnetic moment at 0.00 μB/f.u. The calculated volume comes out at 25.67 A^3/atom. The density of states at the Fermi level is 4.98 states/eV/f.u.

Cell and atoms, written as POSCAR:
```
SmPaRh
1.0
6.948 0.000 0.000
0.000 6.159 0.327
0.000 -0.602 7.167
Pa Sm Rh
4 4 4
direct
0.184 0.882 0.985
0.684 0.118 0.515
0.816 0.118 0.015
0.316 0.882 0.485
0.856 0.615 0.304
0.644 0.615 0.804
0.144 0.385 0.696
0.356 0.385 0.196
0.988 0.886 0.670
0.512 0.886 0.170
0.488 0.114 0.830
0.012 0.114 0.330
```

VASP calculation (PBE) on an optimized crystal structure of SmPaTcRh.

## Properties
The calculation puts the total energy at -8.2954 eV/atom. The calculation puts the magnetic moment at 0.00 μB/f.u. The calculated volume comes out at 20.85 A^3/atom. The density of states at the Fermi level is 3.31 states/eV/f.u.

Cell and atoms, written as POSCAR:
```
SmPaTcRh
1.0
-1.937 1.035 -4.385
1.719 -2.213 -4.024
-2.739 -3.340 -2.321
Pa Rh Sm Tc
1 1 1 1
direct
0.750 0.750 0.750
0.000 0.000 0.000
0.250 0.250 0.250
0.500 0.500 0.500
```